# Pm3PuTe6 | the Alexandria database | PBE | relaxed
data_Pm3PuTe6
_chemical_formula_sum 'Pm6 Pu2 Te12'
_cell_length_a 4.4419
_cell_length_b 12.6809
_cell_length_c 13.0118
_cell_angle_alpha 109.19
_cell_angle_beta 90.00
_cell_angle_gamma 90.00
_space_group_name_H-M_alt 'P 1'
_space_group_IT_number 1
loop_
_space_group_symop_operation_xyz
'x,y,z'
loop_
_atom_site_label
_atom_site_type_symbol
_atom_site_fract_x
_atom_site_fract_y
_atom_site_fract_z
Te1 Te 0.7500 0.8094 0.7504
Te2 Te 0.2500 0.8881 0.5363
Te3 Te 0.2500 0.5142 0.3800
Te4 Te 0.7500 0.3961 0.0657
Te5 Te 0.7500 0.7532 0.2822
Te6 Te 0.2500 0.6039 0.9343
Te7 Te 0.2500 0.2468 0.7178
Te8 Te 0.7500 0.1119 0.4637
Te9 Te 0.7500 0.9163 0.1053
Te10 Te 0.7500 0.4858 0.6200
Te11 Te 0.2500 0.0837 0.8947
Te12 Te 0.2500 0.1906 0.2496
Pm1 Pm 0.2500 0.8454 0.9229
Pm2 Pm 0.7500 0.6814 0.5026
Pm3 Pm 0.7500 0.1546 0.0771
Pm4 Pm 0.2500 0.3186 0.4974
Pm5 Pm 0.2500 0.5738 0.1667
Pm6 Pm 0.7500 0.4262 0.8333
Pu1 Pu 0.2500 0.9570 0.3091
Pu2 Pu 0.7500 0.0430 0.6909
# Magnetization ... 0.50 μB per atom
# ΔE_f (raw) ... -1.2928 eV per atom